Below is a geometry-optimized CeTe2Pd structure, with properties calculated at the PBE level.

Cell and atoms, written as POSCAR:
```
CeTe2Pd
1.0
-1.586 5.428 -0.772
-0.452 -1.059 -6.513
-10.247 -3.134 1.220
Ce Te Pd
4 8 4
Direct
0.153 0.301 0.373
0.847 0.699 0.627
0.653 0.199 0.873
0.347 0.801 0.127
0.185 0.830 0.408
0.172 0.958 0.840
0.815 0.170 0.592
0.315 0.330 0.092
0.685 0.670 0.908
0.828 0.042 0.160
0.328 0.458 0.660
0.672 0.542 0.340
0.643 0.964 0.388
0.357 0.036 0.612
0.143 0.536 0.888
0.857 0.464 0.112
```

Computed properties:
Total magnetization in μB/atom: 0.127
Raw formation energy in eV/atom: -0.920
Symmetry: P2_1/c (14)
Density of states at the Fermi level in states/eV/atom: 1.39
Crystal system: monoclinic